GGA-PBE DyAl2Au, relaxed; energy of formation = -0.53 eV/atom; mass density = 8.2 g/cm3; total energy = -4.368 eV per atom; DOS(E_F) = 2.12 states/eV per cell; total moment = 0.00 μB per cell
1.0
-1.994 -3.116 -2.229
-2.285 -3.018 2.079
-5.640 0.903 -0.401
Au Dy Al
1 1 2
Direct
0.000 0.000 0.000
0.500 0.500 0.500
0.285 0.285 0.144
0.715 0.715 0.856

=====

GGA-PBE Dy2Al6Au21, relaxed; energy of formation = -0.28 eV/atom; mass density = 14.0 g/cm3; total energy = -3.742 eV per atom; DOS(E_F) = 11.31 states/eV per cell; total moment = 0.00 μB per cell
1.0
-8.664 2.689 1.422
-6.879 -4.117 -4.478
-5.816 -5.464 4.543
Dy Au Al
2 21 6
Direct
0.750 0.750 0.750
0.250 0.250 0.250
0.657 0.000 0.000
0.000 0.657 0.343
0.000 0.000 0.657
0.000 0.343 0.000
0.000 0.657 0.000
0.343 0.000 0.000
0.657 0.000 0.343
0.000 0.343 0.657
0.620 0.620 0.620
0.343 0.000 0.657
0.380 0.380 0.380
0.343 0.657 0.000
0.000 0.000 0.000
0.000 0.000 0.343
0.141 0.620 0.620
0.380 0.859 0.380
0.620 0.141 0.620
0.657 0.343 0.000
0.859 0.380 0.380
0.620 0.620 0.141
0.380 0.380 0.859
0.731 0.731 0.269
0.731 0.269 0.269
0.269 0.731 0.269
0.731 0.269 0.731
0.269 0.731 0.731
0.269 0.269 0.731

=====

GGA-PBE DyAl3Au3, relaxed; energy of formation = -0.45 eV/atom; mass density = 9.4 g/cm3; polymorph energy (0 for the lowest one) = 79 meV per atom; total energy = -4.116 eV per atom; DOS(E_F) = 3.80 states/eV per cell; total moment = 0.00 μB per cell
1.0
-2.784 -7.121 -2.715
-1.697 -5.957 5.241
-6.359 -2.614 1.251
Al Au Dy
6 6 2
Direct
0.801 0.121 0.649
0.879 0.570 0.351
0.121 0.430 0.649
0.430 0.801 0.649
0.199 0.879 0.351
0.570 0.199 0.351
0.935 0.251 0.174
0.065 0.749 0.826
0.640 0.935 0.174
0.360 0.065 0.826
0.749 0.360 0.826
0.251 0.640 0.174
0.325 0.325 0.025
0.675 0.675 0.975

=====

GGA-PBE DyAl2Au8, relaxed; energy of formation = -0.41 eV/atom; mass density = 14.5 g/cm3; polymorph energy (0 for the lowest one) = 0 meV per atom; total energy = -3.890 eV per atom; DOS(E_F) = 2.33 states/eV per cell; total moment = 0.00 μB per cell
1.0
4.104 0.000 -1.180
-0.852 6.946 -2.965
-0.092 -0.402 7.409
Au Al Dy
8 2 1
Direct
0.836 0.714 0.671
0.041 0.736 0.083
0.684 0.900 0.367
0.398 0.529 0.797
0.602 0.471 0.203
0.316 0.100 0.633
0.959 0.264 0.917
0.164 0.286 0.329
0.220 0.698 0.441
0.780 0.302 0.559
0.500 0.000 0.000

=====

GGA-PBE Dy2Al3Au5, relaxed; energy of formation = -0.65 eV/atom; mass density = 11.4 g/cm3; polymorph energy (0 for the lowest one) = 5 meV per atom; total energy = -4.334 eV per atom; DOS(E_F) = 10.62 states/eV per cell; total moment = 0.00 μB per cell
1.0
6.135 0.000 0.000
3.067 8.136 -0.210
3.067 1.048 8.071
Au Dy Al
10 4 6
Direct
0.402 0.261 0.934
0.982 0.768 0.768
0.482 0.768 0.768
0.250 0.500 0.500
0.902 0.934 0.261
0.750 0.500 0.500
0.518 0.232 0.232
0.098 0.066 0.739
0.598 0.739 0.066
0.018 0.232 0.232
0.366 0.863 0.406
0.634 0.137 0.594
0.134 0.594 0.137
0.866 0.406 0.863
0.750 0.000 0.000
0.635 0.480 0.251
0.865 0.749 0.520
0.250 0.000 0.000
0.135 0.251 0.480
0.365 0.520 0.749

=====

GGA-PBE DyAl2Au3, relaxed; energy of formation = -0.61 eV/atom; mass density = 11.4 g/cm3; polymorph energy (0 for the lowest one) = 0 meV per atom; total energy = -4.268 eV per atom; DOS(E_F) = 6.62 states/eV per cell; total moment = 0.00 μB per cell
1.0
4.231 0.000 0.000
-2.116 8.051 -2.680
0.000 -0.011 10.349
Al Au Dy
6 9 3
Direct
0.362 0.723 0.557
0.534 0.067 0.775
0.638 0.277 0.443
0.200 0.401 0.124
0.800 0.599 0.876
0.466 0.933 0.225
0.327 0.654 0.049
0.040 0.081 0.334
0.500 0.000 0.500
0.223 0.445 0.380
0.673 0.346 0.951
0.777 0.555 0.620
0.385 0.770 0.823
0.960 0.919 0.666
0.615 0.230 0.177
0.000 0.000 0.000
0.154 0.308 0.690
0.846 0.692 0.310

=====

Which formula does entry 6 have?
DyAl2Au3